No. 1
Compound: LiPr2Ir
Source: Alexandria via LeMat-Bulk
Functional: GGA-PBE
Structure: relaxed

Calculated values
Space-group type   P4/mmm, No. 123
Formation energy from the elements   -0.2861 eV per atom

a b c (Å): 3.7704 5.0345 5.0345
angles (deg): 90.00 90.00 90.00
With the nearest neighbours (Å) after each atom.
Fractional positions:
Pr 0.0000 0.5000 0.0000  4 Li 3.14, 4 Ir 3.14
Pr 0.0000 0.0000 0.5000  4 Li 3.14, 4 Ir 3.14
Ir 0.5000 0.5000 0.5000  8 Pr 3.14
Li 0.5000 0.0000 0.0000  8 Pr 3.14

***

No. 2
Compound: Cs4ClF2
Source: Alexandria via LeMat-Bulk
Functional: GGA-PBE
Structure: relaxed

Calculated values
DFT total energy   -3.13 eV/atom
Space-group type   I4/mmm, No. 139

a b c (Å): 6.5343 6.5343 9.2914
angles (deg): 69.41 69.41 90.00
With the nearest neighbours (Å) after each atom.
Fractional positions:
F 0.6046 0.6046 0.7907  1 Cs 2.58
F 0.3954 0.3954 0.2093  1 Cs 2.58
Cl 0.0000 0.0000 0.0000  4 Cs 3.27
Cs 0.5000 0.0000 0.0000  2 Cl 3.27
Cs 0.0000 0.5000 0.0000  2 Cl 3.27
Cs 0.7647 0.7647 0.4706  1 F 2.58
Cs 0.2353 0.2353 0.5294  1 F 2.58

***

No. 3
Compound: Mg2AgMo
Source: Alexandria via LeMat-Bulk
Functional: GGA-PBE
Structure: relaxed

Calculated values
Space-group type   Immm, No. 71
Excess energy over the best structure of this formula in the dataset   96.0 kJ/mol of formula units
Formation energy from the elements   0.3592 eV per atom

a b c (Å): 5.6893 5.6893 5.6893
angles (deg): 150.61 126.56 62.16
With the nearest neighbours (Å) after each atom.
Fractional positions:
Mg 0.4901 0.4901 0.0000  2 Ag 2.75, 6 Mg 2.89-2.94, 2 Mo 2.91
Mg 0.0099 0.0099 0.0000  2 Ag 2.75, 6 Mg 2.89-2.94, 2 Mo 2.91
Ag 0.2500 0.7500 0.5000  4 Mg 2.75, 2 Ag 2.89, 4 Mo 2.94
Mo 0.7500 0.2500 0.5000  2 Mo 2.89, 4 Mg 2.91, 4 Ag 2.94

***

No. 4
Compound: AcTb14Sc
Source: Alexandria via LeMat-Bulk
Functional: GGA-PBE
Structure: relaxed

Calculated values
Space-group type   P4/mmm, No. 123
Formation energy from the elements   0.0302 eV per atom

a b c (Å): 7.1405 7.1405 10.0677
angles (deg): 90.00 90.00 90.00
With the nearest neighbours (Å) after each atom.
Fractional positions:
Sc 0.1251 0.8749 0.5000  12 Tb 3.54-3.57
Tb 0.8794 0.6294 0.2494  10 Tb 3.51-3.63, 1 Sc 3.54, 1 Ac 3.60
Tb 0.8794 0.1206 0.7505  10 Tb 3.51-3.63, 1 Sc 3.54, 1 Ac 3.60
Tb 0.3706 0.6294 0.7506  10 Tb 3.51-3.63, 1 Sc 3.54, 1 Ac 3.60
Tb 0.3706 0.1206 0.2494  10 Tb 3.51-3.63, 1 Sc 3.54, 1 Ac 3.60
Tb 0.6251 0.3749 0.0000  12 Tb 3.57-3.59
Tb 0.6251 0.8751 0.5000  8 Tb 3.57, 2 Sc 3.57, 2 Ac 3.57
Tb 0.1249 0.8751 0.0000  12 Tb 3.53-3.57
Tb 0.3706 0.1206 0.7506  10 Tb 3.51-3.63, 1 Sc 3.54, 1 Ac 3.60
Tb 0.3706 0.6294 0.2494  10 Tb 3.51-3.63, 1 Sc 3.54, 1 Ac 3.60
Tb 0.1250 0.3751 0.0000  12 Tb 3.56-3.57
Tb 0.8794 0.6294 0.7506  10 Tb 3.51-3.63, 1 Sc 3.54, 1 Ac 3.60
Tb 0.8794 0.1206 0.2495  10 Tb 3.51-3.63, 1 Sc 3.54, 1 Ac 3.60
Tb 0.6249 0.8750 0.0000  12 Tb 3.56-3.57
Tb 0.1249 0.3749 0.5000  8 Tb 3.57, 2 Sc 3.57, 2 Ac 3.57
Ac 0.6249 0.3751 0.5000  12 Tb 3.57-3.60

***

No. 5
Compound: CaLa2Pt
Source: Alexandria via LeMat-Bulk
Functional: GGA-PBE
Structure: relaxed

Calculated values
Space-group type   P4/mmm, No. 123
Excess energy over the best structure of this formula in the dataset   101.5 kJ/mol of formula units
Formation energy from the elements   -0.3229 eV per atom

a b c (Å): 4.1622 5.2296 5.2296
angles (deg): 90.00 90.00 90.00
With the nearest neighbours (Å) after each atom.
Fractional positions:
La 0.0000 0.5000 0.5000  4 Ca 3.34, 4 Pt 3.34, 4 La 3.70
La 0.0000 0.0000 0.0000  4 Ca 3.34, 4 Pt 3.34, 4 La 3.70
Ca 0.5000 0.0000 0.5000  8 La 3.34, 4 Pt 3.70
Pt 0.5000 0.5000 0.0000  8 La 3.34, 4 Ca 3.70

***

No. 6
Compound: Er3ThZn4
Source: Alexandria via LeMat-Bulk
Functional: GGA-PBE
Structure: relaxed

Calculated values
Space-group type   P4/mmm, No. 123
Formation energy from the elements   -0.2907 eV per atom

a b c (Å): 5.0353 7.1979 10.0694
angles (deg): 90.00 90.00 90.00
With the nearest neighbours (Å) after each atom.
Fractional positions:
Th 0.0000 0.5000 0.0000  8 Zn 3.13
Th 0.0000 0.5000 0.5000  8 Zn 3.13
Zn 0.5000 0.7593 0.0000  6 Er 3.06-3.13, 2 Th 3.13
Zn 0.0002 0.2407 0.7500  6 Er 3.06-3.13, 2 Th 3.13
Zn 0.5000 0.2407 0.0000  6 Er 3.06-3.13, 2 Th 3.13
Zn 0.0002 0.7593 0.7500  6 Er 3.06-3.13, 2 Th 3.13
Zn 0.9998 0.2407 0.2500  6 Er 3.06-3.13, 2 Th 3.13
Zn 0.5000 0.7593 0.5000  6 Er 3.06-3.13, 2 Th 3.13
Zn 0.9998 0.7593 0.2500  6 Er 3.06-3.13, 2 Th 3.13
Zn 0.5000 0.2407 0.5000  6 Er 3.06-3.13, 2 Th 3.13
Er 0.5000 0.5000 0.2500  8 Zn 3.13
Er 0.5001 0.0000 0.7500  8 Zn 3.06
Er 0.4999 0.0000 0.2500  8 Zn 3.06
Er 0.0000 0.0000 0.0000  8 Zn 3.06
Er 0.5000 0.5000 0.7500  8 Zn 3.13
Er 0.0000 0.0000 0.5000  8 Zn 3.06

***

Number 1: density of states at the Fermi level 3.2 states/eV per cell. Number 2: density of states at the Fermi level 1.5 states/eV per cell. Number 3: density of states at the Fermi level 2.7 states/eV per cell. Number 4: density of states at the Fermi level 19.0 states/eV per cell. Number 5: density of states at the Fermi level 3.4 states/eV per cell. Number 6: density of states at the Fermi level 16.8 states/eV per cell.